HoTlSnS3 | PBE | optimized geometry

Output
total magnetic moment	0.0	μB/cell
energy	-59.188	eV for the cell shown

a = 8.701 Å, b = 8.701 Å, c = 10.765 Å
α = 90.00°, β = 90.00°, γ = 153.67°
Element x y z (fractional)
1 Ho 0.000 0.000 0.000
2 Ho 0.000 0.000 0.500
3 Tl 0.306 0.694 0.750
4 Tl 0.694 0.306 0.250
5 Sn 0.371 0.629 0.250
6 Sn 0.629 0.371 0.750
7 S 0.025 0.975 0.750
8 S 0.390 0.610 0.511
9 S 0.390 0.610 0.989
10 S 0.610 0.390 0.011
11 S 0.610 0.390 0.489
12 S 0.975 0.025 0.250

Ho2Tl2SnS6 | PBE | optimized geometry

Output
total magnetic moment	0.0	μB/cell
energy	-55.149	eV for the cell shown

a = 6.762 Å, b = 6.762 Å, c = 7.667 Å
α = 90.00°, β = 90.00°, γ = 120.00°
Element x y z (fractional)
1 Ho 0.333 0.667 0.006
2 Ho 0.667 0.333 0.994
3 Tl 0.333 0.667 0.509
4 Tl 0.667 0.333 0.491
5 Sn 0.000 0.000 0.000
6 S 0.005 0.683 0.807
7 S 0.317 0.321 0.807
8 S 0.321 0.005 0.193
9 S 0.679 0.995 0.807
10 S 0.683 0.679 0.193
11 S 0.995 0.317 0.193

SrHoS2 | PBE | optimized geometry

Output
total magnetic moment	0.0	μB/cell
energy	-22.344	eV for the cell shown

a = 4.055 Å, b = 4.055 Å, c = 5.724 Å
α = 90.00°, β = 90.00°, γ = 90.00°
Element x y z (fractional)
1 Sr 0.000 0.000 0.000
2 Ho 0.500 0.500 0.500
3 S 0.000 0.000 0.500
4 S 0.500 0.500 0.000

SrHo2S4 | PBE | optimized geometry

Output
total magnetic moment	0.0	μB/cell
energy	-169.165	eV for the cell shown

a = 12.014 Å, b = 3.977 Å, c = 14.308 Å
α = 90.00°, β = 90.00°, γ = 90.00°
Element x y z (fractional)
1 Sr 0.240 0.250 0.164
2 Sr 0.260 0.750 0.664
3 Sr 0.740 0.250 0.336
4 Sr 0.760 0.750 0.836
5 Ho 0.064 0.250 0.390
6 Ho 0.083 0.250 0.900
7 Ho 0.417 0.750 0.400
8 Ho 0.436 0.750 0.890
9 Ho 0.564 0.250 0.110
10 Ho 0.583 0.250 0.600
11 Ho 0.917 0.750 0.100
12 Ho 0.936 0.750 0.610
13 S 0.027 0.750 0.784
14 S 0.088 0.250 0.578
15 S 0.129 0.750 0.029
16 S 0.205 0.750 0.328
17 S 0.295 0.250 0.828
18 S 0.371 0.250 0.529
19 S 0.412 0.750 0.078
20 S 0.473 0.250 0.284
21 S 0.527 0.750 0.716
22 S 0.588 0.250 0.922
23 S 0.629 0.750 0.471
24 S 0.705 0.750 0.172
25 S 0.795 0.250 0.672
26 S 0.871 0.250 0.971
27 S 0.912 0.750 0.422
28 S 0.973 0.250 0.216

SrHo2S3 | PBE | optimized geometry

Output
total magnetic moment	0.0	μB/cell
energy	-35.319	eV for the cell shown

a = 3.981 Å, b = 3.981 Å, c = 9.859 Å
α = 90.00°, β = 90.00°, γ = 120.00°
Element x y z (fractional)
1 Sr 0.000 0.000 0.000
2 Ho 0.333 0.667 0.650
3 Ho 0.667 0.333 0.350
4 S 0.000 0.000 0.500
5 S 0.333 0.667 0.187
6 S 0.667 0.333 0.813

TbHoS2 | PBE | optimized geometry

Output
total magnetic moment	0.0	μB/cell
energy	-25.432	eV for the cell shown

a = 3.901 Å, b = 3.901 Å, c = 6.746 Å
α = 106.89°, β = 106.89°, γ = 60.18°
Element x y z (fractional)
1 Tb 0.000 0.000 0.000
2 Ho 0.500 0.500 0.500
3 S 0.249 0.249 0.746
4 S 0.751 0.751 0.254

Tb2HoS3 | PBE | optimized geometry

Output
total magnetic moment	0.0	μB/cell
energy	-38.212	eV for the cell shown

a = 3.904 Å, b = 3.904 Å, c = 9.582 Å
α = 90.00°, β = 90.00°, γ = 120.00°
Element x y z (fractional)
1 Tb 0.333 0.667 0.167
2 Tb 0.667 0.333 0.833
3 Ho 0.000 0.000 0.500
4 S 0.000 0.000 0.000
5 S 0.333 0.667 0.663
6 S 0.667 0.333 0.337

TbHoS2 | PBE | optimized geometry

Output
total magnetic moment	0.0	μB/cell
energy	-25.424	eV for the cell shown

a = 3.901 Å, b = 3.901 Å, c = 5.519 Å
α = 90.00°, β = 90.00°, γ = 90.00°
Element x y z (fractional)
1 Tb 0.000 0.000 0.000
2 Ho 0.500 0.500 0.500
3 S 0.000 0.000 0.500
4 S 0.500 0.500 0.000